(1)
The following is a DFT calculation (GGA+U) of an optimized crystal structure of NaMo2P3O13.

Computed properties:
**E_tot**: -7.08 eV per atom
**Calculated density**: 3.141 Mg/m³
**Volume**: 14.4 A^3/atom

Cell lengths 6.4688, 7.5749, 11.6605 Å; angles 76.48, 86.03, 79.11 degrees
Closest atoms and distances in Å follow each position.
Space group P-1 (No. 2)
One atom of each set of equivalent atoms:
Na (0.1995, 0.4286, 0.2076) [2 per cell]  4 O 2.38-2.63
Mo (0.2642, 0.8058, 0.3982) [2 per cell]  1 O 1.70
Mo (0.2851, 0.8039, 0.9028) [2 per cell]  1 O 1.72
P (0.2309, 0.2157, 0.6685) [2 per cell]  4 O 1.50-1.64
P (0.2350, 0.0580, 0.1150) [2 per cell]  4 O 1.53-1.56
P (0.3777, 0.5477, 0.6791) [2 per cell]  4 O 1.52-1.63
O (0.0210, 0.2728, 0.6056) [2 per cell]  1 P 1.53
O (0.0256, 0.1889, 0.1351) [2 per cell]  1 P 1.56
O (0.1914, 0.0289, 0.4100) [2 per cell]  1 Mo 1.70
O (0.2318, 0.0060, 0.9959) [2 per cell]  1 P 1.53
O (0.2415, 0.3846, 0.7323) [2 per cell]  2 P 1.63-1.64
O (0.2448, 0.0408, 0.7629) [2 per cell]  1 P 1.50
O (0.2578, 0.6682, 0.5718) [2 per cell]  1 P 1.53
O (0.2756, 0.8822, 0.2144) [2 per cell]  1 P 1.54
O (0.2819, 0.6281, 0.0266) [2 per cell]  1 Mo 1.72
O (0.3712, 0.6466, 0.7791) [2 per cell]  1 P 1.52
O (0.3953, 0.5377, 0.3464) [2 per cell]  1 P 1.53
O (0.4013, 0.1825, 0.1136) [2 per cell]  1 P 1.56
O (0.4172, 0.2119, 0.5797) [2 per cell]  1 P 1.53


(2)
The following is a DFT calculation (GGA+U) of an optimized crystal structure of NaMoP2O8.

Computed properties:
**E_tot**: -6.81 eV per atom
**Calculated density**: 4.018 Mg/m³
**Volume**: 10.6 A^3/atom

Cell lengths 6.6681, 6.6681, 5.7420 Å; angles 90.00, 90.00, 90.00 degrees
Closest atoms and distances in Å follow each position.
Space group I-4m2 (No. 119)
One atom of each set of equivalent atoms:
Na (0.0000, 0.0000, 0.0000) [2 per cell]  8 O 2.22-2.32
Mo (0.0000, 0.5000, 0.7500) [2 per cell]  8 O 2.14-2.16
P (0.0000, 0.0000, 0.5000) [2 per cell]  4 O 1.55
P (0.0000, 0.5000, 0.2500) [2 per cell]  4 O 1.55
O (0.0000, 0.1884, 0.6594) [8 per cell]  1 P 1.55
O (0.0000, 0.3277, 0.0685) [8 per cell]  1 P 1.55